[1]
First-principles (GGA-PBE) data for a geometry-optimized K2LiAcBr6 structure, as listed in Alexandria via LeMat-Bulk.

Lattice parameters (Å, degrees): 7.7952 8.1635 11.0746 90.00 88.51 90.00
Positions (direct):
K: 0.0263 0.9253 0.2557
K: 0.5263 0.5747 0.7557
K: 0.9737 0.0747 0.7443
K: 0.4737 0.4253 0.2443
Li: 0.5000 0.0000 0.0000
Li: 0.0000 0.5000 0.5000
Ac: 0.5000 0.0000 0.5000
Ac: 0.0000 0.5000 0.0000
Br: 0.3109 0.7073 0.0581
Br: 0.8109 0.7927 0.5581
Br: 0.6891 0.2927 0.9419
Br: 0.1891 0.2073 0.4419
Br: 0.2945 0.6938 0.4440
Br: 0.7945 0.8062 0.9440
Br: 0.7055 0.3062 0.5560
Br: 0.2055 0.1938 0.0560
Br: 0.8868 0.5328 0.2631
Br: 0.3868 0.9672 0.7631
Br: 0.1132 0.4672 0.7369
Br: 0.6132 0.0328 0.2369

- final energy (eV/f.u.) = -36.325
- ρ (g/cm³) = 3.73
- energy relative to the elements, uncorrected (meV/atom) = -1807
- space-group type = P2_1/c
- M_tot (μB per atom) = 0.00

---

[2]
First-principles (GGA-PBE) data for a geometry-optimized KLi2AcBr6 structure, as listed in Alexandria via LeMat-Bulk.

Lattice parameters (Å, degrees): 7.4979 7.4960 7.8892 61.63 61.64 60.00
Positions (direct):
K: 0.7974 0.7973 0.6080
Li: 0.5183 0.5178 0.4459
Li: 0.0126 0.0130 0.9615
Ac: 0.3126 0.3127 0.0621
Br: 0.6327 0.2547 0.2359
Br: 0.2550 0.8765 0.2361
Br: 0.8767 0.6325 0.2359
Br: 0.3390 0.7474 0.7434
Br: 0.7470 0.1706 0.7432
Br: 0.1704 0.3392 0.7433

- final energy (eV/f.u.) = -36.539
- ρ (g/cm³) = 3.93
- energy relative to the elements, uncorrected (meV/atom) = -1747
- space-group type = R3
- M_tot (μB per atom) = 0.00

---

[3]
First-principles (GGA-PBE) data for a geometry-optimized KAcBrN structure, as listed in Alexandria via LeMat-Bulk.

Lattice parameters (Å, degrees): 4.0576 4.0579 8.2158 90.01 104.30 119.99
Positions (direct):
K: 0.4928 0.1445 0.6524
Ac: 0.0840 0.9399 0.0392
Br: 0.9602 0.3782 0.3535
N: 0.3408 0.5682 0.9245

- final energy (eV/f.u.) = -20.079
- ρ (g/cm³) = 5.32
- energy relative to the elements, uncorrected (meV/atom) = -1219
- space-group type = R3m
- M_tot (μB per atom) = 0.00

---

[4]
First-principles (GGA-PBE) data for a geometry-optimized K2NaAcBr6 structure, as listed in Alexandria via LeMat-Bulk.

Lattice parameters (Å, degrees): 7.9252 8.3650 11.3114 90.00 87.79 90.00
Positions (direct):
K: 0.0307 0.9203 0.2585
K: 0.5307 0.5797 0.7585
K: 0.9693 0.0797 0.7415
K: 0.4693 0.4203 0.2415
Na: 0.5000 0.0000 0.0000
Na: 0.0000 0.5000 0.5000
Ac: 0.5000 0.0000 0.5000
Ac: 0.0000 0.5000 0.0000
Br: 0.3068 0.6967 0.0622
Br: 0.8068 0.8033 0.5622
Br: 0.6932 0.3033 0.9378
Br: 0.1932 0.1967 0.4378
Br: 0.3084 0.6999 0.4318
Br: 0.8084 0.8001 0.9318
Br: 0.6916 0.3001 0.5682
Br: 0.1916 0.1999 0.0682
Br: 0.8691 0.5469 0.2535
Br: 0.3691 0.9531 0.7535
Br: 0.1309 0.4531 0.7465
Br: 0.6309 0.0469 0.2465

- final energy (eV/f.u.) = -35.940
- ρ (g/cm³) = 3.58
- energy relative to the elements, uncorrected (meV/atom) = -1828
- space-group type = P2_1/c
- M_tot (μB per atom) = 0.00

---

[5]
First-principles (GGA-PBE) data for a geometry-optimized KAcBrO2 structure, as listed in Alexandria via LeMat-Bulk.

Lattice parameters (Å, degrees): 4.2244 4.2244 7.8695 105.57 105.57 90.00
Positions (direct):
K: 0.8534 0.8534 0.7068
Ac: 0.1579 0.1579 0.3157
Br: 0.5169 0.5169 0.0337
O: 0.7360 0.2360 0.4719
O: 0.2360 0.7360 0.4719

- final energy (eV/f.u.) = -27.053
- ρ (g/cm³) = 4.83
- energy relative to the elements, uncorrected (meV/atom) = -2052
- space-group type = I4mm
- M_tot (μB per atom) = 0.20

---

[6]
First-principles (GGA-PBE) data for a geometry-optimized K2RbAcBr6 structure, as listed in Alexandria via LeMat-Bulk.

Lattice parameters (Å, degrees): 8.1702 8.7420 11.8599 90.00 88.44 90.00
Positions (direct):
K: 0.0328 0.9211 0.2601
K: 0.5328 0.5789 0.7601
K: 0.9672 0.0789 0.7399
K: 0.4672 0.4211 0.2399
Rb: 0.5000 0.0000 0.0000
Rb: 0.0000 0.5000 0.5000
Ac: 0.5000 0.0000 0.5000
Ac: 0.0000 0.5000 0.0000
Br: 0.2980 0.6785 0.0690
Br: 0.7980 0.8215 0.5690
Br: 0.7020 0.3215 0.9310
Br: 0.2020 0.1785 0.4310
Br: 0.3332 0.7145 0.4086
Br: 0.8332 0.7855 0.9086
Br: 0.6668 0.2855 0.5914
Br: 0.1668 0.2145 0.0914
Br: 0.8463 0.5779 0.2307
Br: 0.3463 0.9221 0.7307
Br: 0.1537 0.4221 0.7693
Br: 0.6537 0.0779 0.2693

- final energy (eV/f.u.) = -36.007
- ρ (g/cm³) = 3.41
- energy relative to the elements, uncorrected (meV/atom) = -1870
- space-group type = P2_1/c
- M_tot (μB per atom) = 0.00